! CsCaNb PBE-GGA optimized geometry; values from VASP
&SYSTEM
  ibrav = 0, nat = 3, ntyp = 3
/
ATOMIC_SPECIES
Ca 40.08 Ca.upf
Nb 92.91 Nb.upf
Cs 132.91 Cs.upf
CELL_PARAMETERS angstrom
5.365 0.905 1.360
1.374 4.375 3.228
1.737 -0.837 5.266
ATOMIC_POSITIONS crystal
Ca 0.750 0.750 0.750
Nb 0.500 0.500 0.500
Cs 0.250 0.250 0.250
! Formation enthalpy at 0 K = 1.586 eV per atom
! E_tot = -8.17 eV/cell
! Space group = F-43m (216)
! D(E_F) = 4.7 states/eV/cell

! MgMnN PBE-GGA optimized geometry; values from VASP
&SYSTEM
  ibrav = 0, nat = 6, ntyp = 3
/
ATOMIC_SPECIES
Mn 54.94 Mn.upf
Mg 24.30 Mg.upf
N 14.01 N.upf
CELL_PARAMETERS angstrom
2.706 0.000 0.000
0.000 5.012 -0.241
-1.353 -1.864 4.915
ATOMIC_POSITIONS crystal
Mn 0.489 0.266 0.978
Mg 0.211 0.224 0.421
N 0.881 0.450 0.762
Mn 0.511 0.734 0.022
N 0.119 0.550 0.238
Mg 0.789 0.776 0.579
! Uncorrected formation energy = 0.0113 eV per atom
! E_tot = -38.11 eV/cell
! Space group = C2/m (12)
! D(E_F) = 2.6 states/eV/cell

! YMgAsSe2 PBE-GGA optimized geometry; values from VASP
&SYSTEM
  ibrav = 0, nat = 5, ntyp = 4
/
ATOMIC_SPECIES
Se 78.96 Se.upf
Y 88.91 Y.upf
Mg 24.30 Mg.upf
As 74.92 As.upf
CELL_PARAMETERS angstrom
5.018 0.000 0.000
0.000 5.018 0.000
0.000 0.000 4.899
ATOMIC_POSITIONS crystal
Se 0.500 0.000 0.000
Y 0.500 0.500 0.500
Mg 0.000 0.000 0.000
Se 0.000 0.500 0.000
As 0.000 0.000 0.500
! Uncorrected formation energy = -0.4265 eV per atom
! E_tot = -21.81 eV/cell
! Space group = P4/mmm (123)
! D(E_F) = 4.8 states/eV/cell

! KBe2TlBr6 PBE-GGA optimized geometry; values from VASP
&SYSTEM
  ibrav = 0, nat = 20, ntyp = 4
/
ATOMIC_SPECIES
Be 9.01 Be.upf
Br 79.90 Br.upf
K 39.10 K.upf
Tl 204.38 Tl.upf
CELL_PARAMETERS angstrom
-6.732 -5.483 2.402
7.677 -4.668 0.650
0.677 6.154 8.433
ATOMIC_POSITIONS crystal
Be 0.342 0.150 0.729
Br 0.472 0.691 0.103
Be 0.150 0.342 0.229
Br 0.369 0.939 0.632
Br 0.061 0.631 0.868
Br 0.528 0.309 0.897
Be 0.658 0.850 0.271
Br 0.631 0.061 0.368
Br 0.782 0.850 0.850
Br 0.939 0.369 0.132
Br 0.150 0.218 0.650
K 0.607 0.393 0.250
Tl 0.199 0.801 0.250
Br 0.691 0.472 0.603
K 0.393 0.607 0.750
Tl 0.801 0.199 0.750
Br 0.309 0.528 0.397
Br 0.218 0.150 0.150
Br 0.850 0.782 0.350
Be 0.850 0.658 0.771
! Uncorrected formation energy = -1.1042 eV per atom
! E_tot = -63.99 eV/cell
! Space group = C2/c (15)
! D(E_F) = 0.0 states/eV/cell